Record 1
CaLa2Ni after structural relaxation. Source: the Alexandria database, functional PBE.

Structure (POSCAR):
```
CaLa2Ni
1.0
5.349 0.000 0.000
2.674 4.632 0.000
2.674 1.544 4.367
Ni La Ca
1 2 1
direct
0.750 0.750 0.750 Ni
0.250 0.250 0.250 La
0.000 0.000 0.000 La
0.500 0.500 0.500 Ca
```

Output
The energy above the lowest structure with this stoichiometry is 375 meV/atom.

=====

Record 2
Ca2La3Ni2 after structural relaxation. Source: the Alexandria database, functional PBE.

Structure (POSCAR):
```
Ca2La3Ni2
1.0
3.733 0.000 1.049
1.402 6.307 2.178
-0.423 -0.326 8.671
Ni Ca La
2 2 3
direct
0.165 0.920 0.749 Ni
0.835 0.080 0.251 Ni
0.826 0.541 0.807 Ca
0.174 0.459 0.193 Ca
0.500 0.000 0.000 La
0.379 0.807 0.436 La
0.621 0.193 0.564 La
```

=====

Record 3
CaLaNi after structural relaxation. Source: the Alexandria database, functional PBE.

Structure (POSCAR):
```
CaLaNi
1.0
7.096 0.006 -0.006
6.204 3.444 0.008
0.891 0.217 3.431
La Ni Ca
1 1 1
direct
0.712 0.712 0.288 La
0.325 0.325 0.675 Ni
0.963 0.963 0.037 Ca
```

Output
The energy above the lowest structure with this stoichiometry is 97 meV/atom.

=====

Record 4
CaLa2Ni after structural relaxation. Source: the Alexandria database, functional PBE.

Structure (POSCAR):
```
CaLa2Ni
1.0
6.403 0.039 0.000
3.179 5.559 0.000
-4.791 -2.799 3.196
La Ni Ca
2 1 1
direct
0.250 0.750 0.500 La
0.000 0.000 0.000 La
0.500 0.500 0.000 Ni
0.750 0.250 0.500 Ca
```

Output
The energy above the lowest structure with this stoichiometry is 348 meV/atom.

=====

no.,energy of formation (eV per atom),total moment (μB per cell),volume (A^3/atom)
1,0.2563,0.000,27.0
2,-0.1647,0.000,29.9
3,-0.1240,0.000,27.9
4,0.2288,0.000,28.3